# 1
This record from Alexandria via LeMat-Bulk describes a geometry-optimized ScW2Br structure. The functional is GGA-PBE.

Calculated values
Its mass density is 11.6 g cm⁻³. For the energy above the lowest structure with this stoichiometry, the calculation gives 1284.6 meV/atom. For the formation energy without anion corrections, the calculation gives 1.36 eV per atom. For the volume, the calculation gives 17.6 A^3/atom. As for the space group: Fm-3m, No. 225.

Cell lengths 6.5495, 6.5495, 6.5495 Å; angles 90.00, 90.00, 90.00 degrees
Fractional positions:
Sc: 0.0000 0.0000 0.0000
Sc: 0.0000 0.5000 0.5000
Sc: 0.5000 0.0000 0.5000
Sc: 0.5000 0.5000 0.0000
W: 0.2500 0.2500 0.2500
W: 0.2500 0.2500 0.7500
W: 0.2500 0.7500 0.2500
W: 0.2500 0.7500 0.7500
W: 0.7500 0.2500 0.2500
W: 0.7500 0.2500 0.7500
W: 0.7500 0.7500 0.2500
W: 0.7500 0.7500 0.7500
Br: 0.0000 0.0000 0.5000
Br: 0.0000 0.5000 0.0000
Br: 0.5000 0.0000 0.0000
Br: 0.5000 0.5000 0.5000

# 2
This record from Alexandria via LeMat-Bulk describes a geometry-optimized ScW2Br structure. The functional is GGA-PBE.

Calculated values
Its mass density is 11.6 g cm⁻³. For the energy above the lowest structure with this stoichiometry, the calculation gives 1103.0 meV/atom. For the formation energy without anion corrections, the calculation gives 1.18 eV per atom. For the volume, the calculation gives 17.6 A^3/atom. As for the space group: P4/mmm, No. 123.

Cell lengths 4.7336, 4.7336, 3.1407 Å; angles 90.00, 90.00, 90.00 degrees
Fractional positions:
Sc: 0.0000 0.0000 0.0000
W: 0.0000 0.5000 0.5000
W: 0.5000 0.0000 0.5000
Br: 0.5000 0.5000 0.0000

# 3
This record from Alexandria via LeMat-Bulk describes a geometry-optimized ScW2Br structure. The functional is GGA-PBE.

Calculated values
Its mass density is 10.2 g cm⁻³. For the energy above the lowest structure with this stoichiometry, the calculation gives 0.0 meV/atom. For the formation energy without anion corrections, the calculation gives 0.07 eV per atom. For the volume, the calculation gives 20.0 A^3/atom. As for the space group: Pm, No. 6.

Cell lengths 3.2963, 3.1919, 7.7396 Å; angles 90.00, 101.25, 90.00 degrees
Fractional positions:
Sc: 0.0000 0.0000 0.0000
W: 0.3889 0.5000 0.7589
W: 0.8095 0.0000 0.5852
Br: 0.6543 0.5000 0.2732

# 4
This record from Alexandria via LeMat-Bulk describes a geometry-optimized ScW2Br structure. The functional is GGA-PBE.

Calculated values
Its mass density is 11.0 g cm⁻³. For the energy above the lowest structure with this stoichiometry, the calculation gives 682.0 meV/atom. For the formation energy without anion corrections, the calculation gives 0.75 eV per atom. For the volume, the calculation gives 18.6 A^3/atom. As for the space group: Pmmm, No. 47.

Cell lengths 2.9553, 4.7350, 5.3071 Å; angles 90.00, 90.00, 90.00 degrees
Fractional positions:
Sc: 0.0000 0.0000 0.0000
W: 0.5000 0.5000 0.2331
W: 0.5000 0.5000 0.7669
Br: 0.0000 0.0000 0.5000

# 5
This record from Alexandria via LeMat-Bulk describes a geometry-optimized ScW2Br structure. The functional is GGA-PBE.

Calculated values
Its mass density is 9.6 g cm⁻³. For the energy above the lowest structure with this stoichiometry, the calculation gives 67.1 meV/atom. For the formation energy without anion corrections, the calculation gives 0.14 eV per atom. For the volume, the calculation gives 21.2 A^3/atom. As for the space group: P4mm, No. 99.

Cell lengths 3.2460, 3.2460, 8.0661 Å; angles 90.00, 90.00, 90.00 degrees
Fractional positions:
Sc: 0.0000 0.0000 0.0000
W: 0.0000 0.0000 0.3844
W: 0.5000 0.5000 0.2252
Br: 0.5000 0.5000 0.7846

# 6
This record from Alexandria via LeMat-Bulk describes a geometry-optimized ScW2Br structure. The functional is GGA-PBE.

Calculated values
Its mass density is 10.3 g cm⁻³. For the energy above the lowest structure with this stoichiometry, the calculation gives 472.2 meV/atom. For the formation energy without anion corrections, the calculation gives 0.54 eV per atom. For the volume, the calculation gives 19.8 A^3/atom. As for the space group: Cm, No. 8.

Cell lengths 9.5156, 3.2114, 5.4651 Å; angles 90.00, 108.71, 90.00 degrees
Fractional positions:
Sc: 0.0000 0.0000 0.0000
Sc: 0.5000 0.5000 0.0000
W: 0.0499 0.5000 0.4976
W: 0.3404 0.5000 0.3676
W: 0.5499 0.0000 0.4976
W: 0.8404 0.0000 0.3676
Br: 0.2498 0.0000 0.8980
Br: 0.7498 0.5000 0.8980

# 7
This record from Alexandria via LeMat-Bulk describes a geometry-optimized ScW2Br structure. The functional is GGA-PBE.

Calculated values
Its mass density is 11.3 g cm⁻³. For the energy above the lowest structure with this stoichiometry, the calculation gives 732.1 meV/atom. For the formation energy without anion corrections, the calculation gives 0.80 eV per atom. For the volume, the calculation gives 18.0 A^3/atom. As for the space group: I-4m2, No. 119.

Cell lengths 4.3971, 4.3971, 7.4650 Å; angles 90.00, 90.00, 90.00 degrees
Fractional positions:
Sc: 0.0000 0.0000 0.0000
Sc: 0.5000 0.5000 0.5000
W: 0.0000 0.0000 0.5000
W: 0.0000 0.5000 0.7500
W: 0.5000 0.0000 0.2500
W: 0.5000 0.5000 0.0000
Br: 0.0000 0.5000 0.2500
Br: 0.5000 0.0000 0.7500

# 8
This record from Alexandria via LeMat-Bulk describes a geometry-optimized ScWBr3 structure. The functional is GGA-PBE.

Calculated values
Its mass density is 5.6 g cm⁻³. For the energy above the lowest structure with this stoichiometry, the calculation gives 247.0 meV/atom. For the formation energy without anion corrections, the calculation gives 0.56 eV per atom. For the volume, the calculation gives 27.8 A^3/atom. As for the space group: Pm-3m, No. 221.

Cell lengths 5.1791, 5.1791, 5.1791 Å; angles 90.00, 90.00, 90.00 degrees
Fractional positions:
Sc: 0.0000 0.0000 0.0000
W: 0.5000 0.5000 0.5000
Br: 0.0000 0.5000 0.5000
Br: 0.5000 0.0000 0.5000
Br: 0.5000 0.5000 0.0000